Entry from the Alexandria database: a PBEsol-optimized structure of GdRuC2 (meta-GGA SCAN).

Lattice parameters (Å, degrees): 4.340 9.175 5.167 90.00 90.00 90.00
Space group Cmcm (No. 63)
One atom of each set of equivalent atoms:
Gd: 0.000 0.183 0.250 x4
Ru: 0.000 0.500 0.000 x4
C: 0.159 0.084 0.750 x8

Results
- crystal system = orthorhombic
- formation enthalpy at 0 K (eV per atom) = -0.241